A plane-wave DFT calculation with PBE was carried out for a geometry-optimized LaTc structure.

Computed properties:
The raw total energy comes out at -6.785 eV per atom. The calculation puts the total magnetization at 0.04 Bohr magnetons per cell. The calculation puts the formation energy at 0.8566 eV/atom.

a = 3.7208 Å, b = 3.7208 Å, c = 7.2188 Å
α = 90.00°, β = 90.00°, γ = 120.00°
Space group P6_3/mmc (No. 194)
Unique sites:
La (0.0000, 0.0000, 0.0000) [2 per cell]
Tc (0.3333, 0.6667, 0.2500) [2 per cell]

***

A plane-wave DFT calculation with PBE was carried out for a geometry-optimized LaTc2 structure.

Computed properties:
The raw total energy comes out at -5.232 eV per atom. The calculation puts the total magnetization at 37.91 Bohr magnetons per cell. The calculation puts the formation energy at 3.3158 eV/atom.

a = 11.516 Å, b = 11.516 Å, c = 11.516 Å
α = 90.00°, β = 90.00°, γ = 90.00°
Space group Fd-3m (No. 227, origin choice 2)
Unique sites:
La (0.125, 0.125, 0.125) [8 per cell]
Tc (0.000, 0.000, 0.000) [16 per cell]

***

- Which of these has the lowest raw total energy?
  LaTc

***

- Which formula does entry 2 have?
  LaTc2

***

- What is the raw total energy in the second record?
  -5.232 eV per atom

***

- Which value of raw total energy does entry 1 give?
  -6.785 eV per atom